No. 1
10
Lattice="8.195 0.000 0.000 0.000 8.195 0.000 0.000 0.000 3.450" Properties=species:S:1:pos:R:3 comment="Li2Mg2Bi | Alexandria | GGA-PBE | relaxed" magnetic_moment_mub_per_cell=0.00 delta_e_f_ev_per_atom=-0.08 polymorph_energy_kj_per_mol_atoms=1.4 vol_a3_per_cell=231.7 dos_ef_per_ev_cell=3.80 pbc="T T T"
Mg 3.014 7.112 0.000
Mg 7.112 5.181 0.000
Mg 5.181 1.084 0.000
Mg 1.084 3.014 0.000
Bi 0.000 0.000 0.000
Bi 4.098 4.098 0.000
Li 1.327 5.425 1.725
Li 5.425 6.868 1.725
Li 6.868 2.770 1.725
Li 2.770 1.327 1.725

=====

No. 2
12
Lattice="5.502 0.000 -0.194 2.751 8.074 -0.097 0.258 0.000 6.790" Properties=species:S:1:pos:R:3 comment="Li2MgBi3 | Alexandria | GGA-PBE | relaxed" magnetic_moment_mub_per_cell=0.00 delta_e_f_ev_per_atom=-0.27 vol_a3_per_cell=302.0 dos_ef_per_ev_cell=4.30 pbc="T T T"
Li 0.000 0.000 0.000
Li 0.129 0.000 3.395
Li 2.880 2.680 3.298
Li 5.631 5.394 3.201
Mg 2.751 2.644 -0.097
Mg 5.502 5.430 -0.194
Bi 5.696 2.722 4.893
Bi 2.814 0.000 1.617
Bi 2.816 5.352 1.607
Bi 5.567 2.722 1.510
Bi 2.945 5.352 4.990
Bi 2.946 0.000 4.980